1.
Crystalline SrYHg6 at its relaxed geometry, computed with PBE.

The structure in extended XYZ format:
```
8
Lattice="4.7543 0.0000 0.0000 0.0000 4.7543 0.0000 0.0000 0.0000 9.3763" Properties=species:S:1:pos:R:3 pbc="T T T"
Sr 0.0000 0.0000 0.0000
Y 0.0000 0.0000 4.6881
Hg 0.0000 2.3771 2.4681
Hg 0.0000 2.3771 6.9082
Hg 2.3771 0.0000 2.4681
Hg 2.3771 0.0000 6.9082
Hg 2.3771 2.3771 0.0000
Hg 2.3771 2.3771 4.6881
```

Magnetic moment (μB per atom): 0.000
SG: P4/mmm
ΔH_f (0 K) (kcal/mol of atoms): -7.9

---

2.
Crystalline Sr2YHg at its relaxed geometry, computed with PBE.

The structure in extended XYZ format:
```
4
Lattice="3.8666 0.0000 0.0000 0.0000 3.8666 0.0000 0.0000 0.0000 9.9087" Properties=species:S:1:pos:R:3 pbc="T T T"
Sr 0.0000 0.0000 2.0674
Sr 0.0000 0.0000 7.8413
Y 1.9333 1.9333 4.9543
Hg 1.9333 1.9333 0.0000
```

Magnetic moment (μB per atom): 0.195
SG: P4/mmm
ΔH_f (0 K) (kcal/mol of atoms): -2.8

---

3.
Crystalline Sr2YHg at its relaxed geometry, computed with PBE.

The structure in extended XYZ format:
```
4
Lattice="3.7323 -4.9757 0.0000 3.7323 4.9757 0.0000 0.0000 0.0000 3.9165" Properties=species:S:1:pos:R:3 pbc="T T T"
Sr 1.8661 2.4878 0.0000
Sr 1.8661 -2.4878 0.0000
Y 0.0000 0.0000 1.9582
Hg 3.7323 0.0000 1.9582
```

Magnetic moment (μB per atom): 0.001
SG: Cmmm
ΔH_f (0 K) (kcal/mol of atoms): 0.0

---

4.
Crystalline Sr2Y2Hg at its relaxed geometry, computed with PBE.

The structure in extended XYZ format:
```
10
Lattice="7.9668 0.0000 0.0000 0.0000 7.9668 0.0000 0.0000 0.0000 6.0984" Properties=species:S:1:pos:R:3 pbc="T T T"
Sr 1.3369 2.6465 0.0000
Sr 2.6465 6.6299 0.0000
Sr 5.3203 1.3369 0.0000
Sr 6.6299 5.3203 0.0000
Y 1.1974 5.1807 3.0492
Y 2.7860 1.1974 3.0492
Y 5.1807 6.7694 3.0492
Y 6.7694 2.7860 3.0492
Hg 0.0000 0.0000 3.0492
Hg 3.9834 3.9834 3.0492
```

Magnetic moment (μB per atom): 0.323
SG: P4/mbm
ΔH_f (0 K) (kcal/mol of atoms): 1.4

---

5.
Crystalline Sr2YHg2 at its relaxed geometry, computed with PBE.

The structure in extended XYZ format:
```
10
Lattice="9.3378 0.0000 0.0000 0.0000 9.3378 0.0000 0.0000 0.0000 3.6732" Properties=species:S:1:pos:R:3 pbc="T T T"
Sr 1.2807 3.3882 0.0000
Sr 3.3882 8.0571 0.0000
Sr 5.9496 1.2807 0.0000
Sr 8.0571 5.9496 0.0000
Y 0.0000 0.0000 0.0000
Y 4.6689 4.6689 0.0000
Hg 1.5117 6.1806 1.8366
Hg 3.1572 1.5117 1.8366
Hg 6.1806 7.8261 1.8366
Hg 7.8261 3.1572 1.8366
```

E above lowest polymorph (meV/atom): 152
Magnetic moment (μB per atom): 0.000
SG: P4/mbm
ΔH_f (0 K) (kcal/mol of atoms): -4.2

---

6.
Crystalline Sr2YHg at its relaxed geometry, computed with PBE.

The structure in extended XYZ format:
```
4
Lattice="-2.5213 2.5213 5.4910 2.5213 -2.5213 5.4910 2.5213 2.5213 -5.4910" Properties=species:S:1:pos:R:3 pbc="T T T"
Sr 2.5213 0.0000 2.7455
Sr 0.0000 2.5213 2.7455
Y 0.0000 0.0000 0.0000
Hg 0.0000 0.0000 5.4910
```

Magnetic moment (μB per atom): 0.000
SG: I4/mmm
ΔH_f (0 K) (kcal/mol of atoms): 0.7

---

7.
Crystalline SrY3Hg4 at its relaxed geometry, computed with PBE.

The structure in extended XYZ format:
```
8
Lattice="5.3334 0.0000 0.0000 0.0000 5.3334 0.0000 0.0000 0.0000 7.6307" Properties=species:S:1:pos:R:3 pbc="T T T"
Sr 0.0000 0.0000 0.0000
Y 0.0000 0.0000 3.8154
Y 2.6667 2.6667 0.0000
Y 2.6667 2.6667 3.8154
Hg 0.0000 2.6667 2.0198
Hg 0.0000 2.6667 5.6110
Hg 2.6667 0.0000 2.0198
Hg 2.6667 0.0000 5.6110
```

Magnetic moment (μB per atom): 0.000
SG: P4/mmm
ΔH_f (0 K) (kcal/mol of atoms): -11.4

---

8.
Crystalline SrYHg2 at its relaxed geometry, computed with PBE.

The structure in extended XYZ format:
```
4
Lattice="3.8513 0.0000 0.0000 0.0000 3.8513 0.0000 0.0000 0.0000 7.7379" Properties=species:S:1:pos:R:3 pbc="T T T"
Sr 0.0000 0.0000 0.0000
Y 0.0000 0.0000 3.8689
Hg 1.9257 1.9257 2.1658
Hg 1.9257 1.9257 5.5721
```

Magnetic moment (μB per atom): 0.000
SG: P4/mmm
ΔH_f (0 K) (kcal/mol of atoms): -11.8

---

9.
Crystalline SrYHg2 at its relaxed geometry, computed with PBE.

The structure in extended XYZ format:
```
4
Lattice="2.0180 1.1651 9.0209 -2.0180 1.1651 9.0209 0.0000 -2.3302 9.0209" Properties=species:S:1:pos:R:3 pbc="T T T"
Sr 0.0000 0.0000 0.0000
Y 0.0000 0.0000 4.4947
Hg 0.0000 0.0000 15.5966
Hg 0.0000 0.0000 20.4776
```

Magnetic moment (μB per atom): 0.000
SG: R3m
ΔH_f (0 K) (kcal/mol of atoms): -8.3

---

10.
Crystalline SrYHg2 at its relaxed geometry, computed with PBE.

The structure in extended XYZ format:
```
4
Lattice="-2.2879 2.2879 5.5819 2.2879 -2.2879 5.5819 2.2879 2.2879 -5.5819" Properties=species:S:1:pos:R:3 pbc="T T T"
Sr 0.0000 0.0000 0.0000
Y 2.2879 0.0000 2.7909
Hg 0.0000 0.0000 5.5819
Hg 0.0000 2.2879 2.7909
```

Magnetic moment (μB per atom): 0.002
SG: I-4m2
ΔH_f (0 K) (kcal/mol of atoms): -5.9

---

11.
Crystalline SrY2Hg3 at its relaxed geometry, computed with PBE.

The structure in extended XYZ format:
```
6
Lattice="3.7939 0.0000 0.0000 0.0000 3.7939 0.0000 0.0000 0.0000 11.5460" Properties=species:S:1:pos:R:3 pbc="T T T"
Sr 0.0000 0.0000 0.0000
Y 0.0000 0.0000 3.9369
Y 0.0000 0.0000 7.6091
Hg 1.8969 1.8969 2.2103
Hg 1.8969 1.8969 5.7730
Hg 1.8969 1.8969 9.3356
```

Magnetic moment (μB per atom): 0.000
SG: P4/mmm
ΔH_f (0 K) (kcal/mol of atoms): -11.9

---

12.
Crystalline SrY2Hg at its relaxed geometry, computed with PBE.

The structure in extended XYZ format:
```
4
Lattice="3.3793 -6.0726 0.0000 3.3793 6.0726 0.0000 -1.7331 0.0000 3.1415" Properties=species:S:1:pos:R:3 pbc="T T T"
Sr 0.0000 0.0000 0.0000
Y 0.8231 3.0363 1.5708
Y 0.8231 -3.0363 1.5708
Hg 3.3793 0.0000 0.0000
```

Magnetic moment (μB per atom): 0.000
SG: C2/m
ΔH_f (0 K) (kcal/mol of atoms): 0.7

---

13.
Crystalline SrYHg2 at its relaxed geometry, computed with PBE.

The structure in extended XYZ format:
```
4
Lattice="0.0000 3.8120 3.8120 3.8120 0.0000 3.8120 3.8120 3.8120 0.0000" Properties=species:S:1:pos:R:3 pbc="T T T"
Sr 0.0000 0.0000 0.0000
Y 1.9060 1.9060 1.9060
Hg 3.8120 3.8120 3.8120
Hg 5.7181 5.7181 5.7181
```

Magnetic moment (μB per atom): 0.000
SG: F-43m
ΔH_f (0 K) (kcal/mol of atoms): -1.6

---

14.
Crystalline Sr5YHg6 at its relaxed geometry, computed with PBE.

The structure in extended XYZ format:
```
12
Lattice="2.7861 -8.3649 0.0000 2.7861 8.3649 0.0000 0.0000 0.0000 7.9355" Properties=species:S:1:pos:R:3 pbc="T T T"
Sr 0.0000 0.0000 0.0000
Sr 2.7861 2.8126 0.0000
Sr 2.7861 2.8022 3.9678
Sr 2.7861 -2.8022 3.9678
Sr 2.7861 -2.8126 0.0000
Y 0.0000 0.0000 3.9678
Hg 2.7861 5.7060 2.0626
Hg 2.7861 5.7060 5.8729
Hg 2.7861 0.0000 2.1296
Hg 2.7861 0.0000 5.8059
Hg 2.7861 -5.7060 2.0626
Hg 2.7861 -5.7060 5.8729
```

Magnetic moment (μB per atom): 0.000
SG: Cmmm
ΔH_f (0 K) (kcal/mol of atoms): -11.9

---

15.
Crystalline SrY2Hg2 at its relaxed geometry, computed with PBE.

The structure in extended XYZ format:
```
10
Lattice="8.8053 0.0000 0.0000 0.0000 8.8053 0.0000 0.0000 0.0000 3.8400" Properties=species:S:1:pos:R:3 pbc="T T T"
Sr 0.0000 0.0000 0.0000
Sr 4.4026 4.4026 0.0000
Y 1.3984 3.0042 1.9200
Y 3.0042 7.4068 1.9200
Y 5.8011 1.3984 1.9200
Y 7.4068 5.8011 1.9200
Hg 1.1937 5.5963 0.0000
Hg 3.2090 1.1937 0.0000
Hg 5.5963 7.6116 0.0000
Hg 7.6116 3.2090 0.0000
```

E above lowest polymorph (meV/atom): 0
Magnetic moment (μB per atom): 0.000
SG: P4/mbm
ΔH_f (0 K) (kcal/mol of atoms): -8.1

---

16.
Crystalline SrY2Hg at its relaxed geometry, computed with PBE.

The structure in extended XYZ format:
```
4
Lattice="-1.8890 2.8528 6.0911 1.8890 -2.8528 6.0911 1.8890 2.8528 -6.0911" Properties=species:S:1:pos:R:3 pbc="T T T"
Sr 0.0000 0.0000 0.0000
Y 1.8890 0.0000 3.5535
Y 0.0000 2.8528 2.5377
Hg 0.0000 0.0000 6.0911
```

Magnetic moment (μB per atom): 0.000
SG: Immm
ΔH_f (0 K) (kcal/mol of atoms): -4.6

---

17.
Crystalline SrZnHg4 at its relaxed geometry, computed with PBE.

The structure in extended XYZ format:
```
6
Lattice="4.0932 0.0000 0.0000 0.4689 4.0891 0.0000 1.6598 1.4362 9.5436" Properties=species:S:1:pos:R:3 pbc="T T T"
Sr 0.0000 0.0000 0.0000
Zn 3.1109 2.7626 4.7718
Hg 1.3402 1.1494 6.1325
Hg 2.3249 2.0915 1.9113
Hg 3.8970 3.4338 7.6323
Hg 4.8817 4.3759 3.4111
```

E above lowest polymorph (meV/atom): 48
Magnetic moment (μB per atom): 0.000
SG: P-1
ΔH_f (0 K) (kcal/mol of atoms): -4.3

---

18.
Crystalline SrZn2Hg at its relaxed geometry, computed with PBE.

The structure in extended XYZ format:
```
8
Lattice="4.8880 0.0000 0.0000 0.0000 4.5196 0.0000 -2.0380 0.0000 8.9257" Properties=species:S:1:pos:R:3 pbc="T T T"
Sr 0.1090 1.1299 1.8770
Sr 2.7410 3.3897 7.0487
Zn -0.3601 1.1299 5.2276
Zn 0.7511 3.3897 4.3143
Zn 2.0989 1.1299 4.6113
Zn 3.2101 3.3897 3.6980
Hg 0.2436 1.1299 7.9415
Hg 2.6064 3.3897 0.9842
```

Magnetic moment (μB per atom): 0.000
SG: P2_1/m
ΔH_f (0 K) (kcal/mol of atoms): -7.0

---

19.
Crystalline Sr6ZnHg5 at its relaxed geometry, computed with PBE.

The structure in extended XYZ format:
```
12
Lattice="8.9949 -3.9351 0.0000 8.9949 3.9351 0.0000 -1.7881 0.0000 5.3937" Properties=species:S:1:pos:R:3 pbc="T T T"
Sr 5.4138 1.9758 1.8027
Sr 8.9949 1.9833 0.0000
Sr 10.7879 1.9758 3.5910
Sr 5.4138 -1.9758 1.8027
Sr 8.9949 -1.9833 0.0000
Sr 10.7879 -1.9758 3.5910
Zn -0.8941 0.0000 2.6968
Hg 2.6872 0.0000 0.8942
Hg 4.5082 0.0000 4.4960
Hg 8.1009 0.0000 2.6968
Hg 11.6935 0.0000 0.8977
Hg 13.5145 0.0000 4.4995
```

Magnetic moment (μB per atom): 0.000
SG: C2/m
ΔH_f (0 K) (kcal/mol of atoms): -10.9

---

20.
Crystalline Sr2ZnHg at its relaxed geometry, computed with PBE.

The structure in extended XYZ format:
```
4
Lattice="5.6453 0.0000 0.0000 0.0000 5.6453 0.0000 0.0000 0.0000 3.9010" Properties=species:S:1:pos:R:3 pbc="T T T"
Sr 0.0000 2.8227 0.0000
Sr 2.8227 0.0000 0.0000
Zn 0.0000 0.0000 1.9505
Hg 2.8227 2.8227 1.9505
```

E above lowest polymorph (meV/atom): 4
Magnetic moment (μB per atom): 0.000
SG: P4/mmm
ΔH_f (0 K) (kcal/mol of atoms): -8.1

---

21.
Crystalline Sr2Zn2Hg at its relaxed geometry, computed with PBE.

The structure in extended XYZ format:
```
10
Lattice="8.1527 0.0000 0.0000 0.0000 8.1527 0.0000 0.0000 0.0000 4.3437" Properties=species:S:1:pos:R:3 pbc="T T T"
Sr 1.5210 2.5554 0.0000
Sr 2.5554 6.6317 0.0000
Sr 5.5973 1.5210 0.0000
Sr 6.6317 5.5973 0.0000
Zn 0.9029 4.9792 2.1719
Zn 3.1735 0.9029 2.1719
Zn 4.9792 7.2498 2.1719
Zn 7.2498 3.1735 2.1719
Hg 0.0000 0.0000 2.1719
Hg 4.0763 4.0763 2.1719
```

E above lowest polymorph (meV/atom): 50
Magnetic moment (μB per atom): 0.000
SG: P4/mbm
ΔH_f (0 K) (kcal/mol of atoms): -5.9

---

22.
Crystalline Sr8ZnHg2 at its relaxed geometry, computed with PBE.

The structure in extended XYZ format:
```
11
Lattice="5.0170 -7.3570 0.0000 5.0170 7.3570 0.0000 -2.2611 0.0000 6.5423" Properties=species:S:1:pos:R:3 pbc="T T T"
Sr 0.0000 0.0000 0.0000
Sr 0.2292 1.9251 3.7634
Sr 3.1738 3.1142 1.1944
Sr 0.2292 -1.9251 3.7634
Sr 3.9292 1.9155 5.1015
Sr 3.1738 -3.1142 1.1944
Sr 3.9292 -1.9155 5.1015
Sr 6.3608 0.0000 2.4353
Zn 2.7405 0.0000 2.5011
Hg 2.0852 4.6070 4.4792
Hg 2.0852 -4.6070 4.4792
```

E above lowest polymorph (meV/atom): 23
Magnetic moment (μB per atom): 0.000
SG: Cm
ΔH_f (0 K) (kcal/mol of atoms): -4.2

---

23.
Crystalline Sr2ZnHg at its relaxed geometry, computed with PBE.

The structure in extended XYZ format:
```
4
Lattice="-1.9277 2.7790 5.7778 1.9277 -2.7790 5.7778 1.9277 2.7790 -5.7778" Properties=species:S:1:pos:R:3 pbc="T T T"
Sr 0.0000 0.0000 0.0000
Sr 0.0000 2.7790 2.3165
Zn 0.0000 0.0000 5.1773
Hg 1.9277 0.0000 3.0401
```

E above lowest polymorph (meV/atom): 97
Magnetic moment (μB per atom): 0.000
SG: Imm2
ΔH_f (0 K) (kcal/mol of atoms): -6.0

---

24.
Crystalline Sr2ZnHg at its relaxed geometry, computed with PBE.

The structure in extended XYZ format:
```
4
Lattice="-2.0271 3.5412 6.5774 2.0271 -3.5412 6.5774 2.0271 3.5412 -6.5774" Properties=species:S:1:pos:R:3 pbc="T T T"
Sr 0.0000 0.0000 3.2714
Sr 0.0000 0.0000 9.8834
Zn 0.0000 0.0000 0.0000
Hg 0.0000 0.0000 6.5774
```

E above lowest polymorph (meV/atom): 692
Magnetic moment (μB per atom): 0.000
SG: Immm
ΔH_f (0 K) (kcal/mol of atoms): 7.7

---

25.
Crystalline SrZn2Hg at its relaxed geometry, computed with PBE.

The structure in extended XYZ format:
```
8
Lattice="-2.4541 2.4541 9.5807 2.4541 -2.4541 9.5807 2.4541 2.4541 -9.5807" Properties=species:S:1:pos:R:3 pbc="T T T"
Sr 0.0000 0.0000 0.0000
Sr 0.0000 2.4541 4.7904
Zn 1.2270 -0.2060 7.1855
Zn 2.2481 1.2270 2.3952
Zn 1.2270 2.6600 -2.3952
Zn 0.2060 1.2270 11.9759
Hg 2.4541 0.0000 4.7904
Hg 0.0000 0.0000 9.5807
```

Magnetic moment (μB per atom): 0.000
SG: I-42d
ΔH_f (0 K) (kcal/mol of atoms): -2.5